The following is a PBE calculation of a geometry-optimized Tl6CdPb structure, from Alexandria.

Calculated values
energy of formation	26	meV per atom
energy	-2.33	eV per atom
SG	Amm2 (38)

extended XYZ file:
```
8
Lattice="-2.6501 -1.9876 -4.6927 -0.6496 -6.1088 2.9541 -5.1432 4.3453 1.0640" Properties=species:S:1:pos:R:3 pbc="T T T"
Tl -0.9198 -1.4442 1.1311
Tl -3.9879 -2.3782 3.2593
Tl -3.5345 0.6029 1.7406
Tl -3.1930 -0.3917 -1.5465
Tl -1.3816 -4.4057 2.6462
Tl -6.1398 -1.2888 0.4975
Pb -3.5495 -3.4386 -0.0547
Cd -5.7648 1.7152 -0.9865
```